Here is crystalline K3NbAu at its relaxed geometry from the Alexandria database. Energies are from GGA-PBEsol.

a b c (Å): 6.458 6.458 6.458
angles (deg): 90.00 90.00 90.00
Sites, in units of the cell vectors:
K (0.000, 0.000, 0.500)
K (0.000, 0.500, 0.000)
K (0.500, 0.000, 0.000)
Nb (0.000, 0.000, 0.000)
Au (0.500, 0.500, 0.500)

Calculated values
As for the size of the total moment: 5.098 μB per cell. The value obtained for the formation enthalpy at 0 K is 1.33 eV per atom. Its space group is No. 221. The calculation puts the final energy at -2.2965 eV per atom. Its density of states at the Fermi level is 1.3 states/eV per cell.

Here is crystalline KNbOsAu2 at its relaxed geometry from the Alexandria database. Energies are from GGA-PBEsol.

a b c (Å): 4.914 4.914 4.543
angles (deg): 90.00 90.00 90.00
Sites, in units of the cell vectors:
K (0.000, 0.000, 0.000)
Nb (0.500, 0.500, 0.500)
Os (0.000, 0.000, 0.500)
Au (0.000, 0.500, 0.000)
Au (0.500, 0.000, 0.000)

Calculated values
As for the size of the total moment: 1.807 μB per cell. The value obtained for the formation enthalpy at 0 K is 2.67 eV per atom. Its space group is No. 123. The calculation puts the final energy at -3.7308 eV per atom. Its density of states at the Fermi level is 6.5 states/eV per cell.